This record from Alexandria describes an optimized crystal structure of Sr8AlZn2. The functional is PBE.

Geometry as POSCAR:
```
Sr8AlZn2
1.0
4.983 -7.445 0.000
4.983 7.445 0.000
-2.039 0.000 6.295
Sr Al Zn
8 1 2
direct
0.000 0.000 0.000 Sr
0.028 0.287 0.604 Sr
0.142 0.584 0.189 Sr
0.287 0.028 0.604 Sr
0.433 0.692 0.790 Sr
0.584 0.142 0.189 Sr
0.692 0.433 0.790 Sr
0.724 0.724 0.373 Sr
0.365 0.365 0.046 Al
0.045 0.670 0.689 Zn
0.670 0.045 0.689 Zn
```

Computed properties:
symmetry: Cm (8)
final energy: -1.821 eV per atom

This record from Alexandria describes an optimized crystal structure of RbTc2BS. The functional is PBE.

Geometry as POSCAR:
```
RbTc2BS
1.0
4.389 0.000 0.000
0.000 4.389 0.000
0.000 0.000 6.038
Rb Tc B S
1 2 1 1
direct
0.000 0.000 0.000 Rb
0.000 0.500 0.500 Tc
0.500 0.000 0.500 Tc
0.500 0.500 0.000 B
0.000 0.000 0.500 S
```

Computed properties:
symmetry: P4/mmm (123)
formation energy from raw total energies: 1597 meV per atom